Computed, not measured: crystalline CsZnCd2Au at its relaxed geometry at the PBE level of DFT.

Properties
excess energy over the best structure of this formula in the dataset = 0.0 kJ/mol of atoms
total energy = -1.5328 eV/atom
ΔH_f (0 K) = -0.43 eV/f.u.
total magnetization = 0.000 μB per cell
space-group type = P4/mmm (123)
Fermi-level density of states = 1.91 states/eV/f.u.

a = 5.4882 Å, b = 5.4882 Å, c = 5.1364 Å
α = 90.00°, β = 90.00°, γ = 90.00°
Element x y z (fractional)
1 Au 0.0000 0.0000 0.0000
2 Cd 0.0000 0.5000 0.0000
3 Cd 0.5000 0.0000 0.0000
4 Cs 0.5000 0.5000 0.5000
5 Zn 0.0000 0.0000 0.5000

Computed, not measured: crystalline Cs4ZnCd2Au2 at its relaxed geometry at the PBE level of DFT.

Properties
total energy = -1.5867 eV/atom
ΔH_f (0 K) = -1.21 eV/f.u.
total magnetization = 0.000 μB per cell
space-group type = C2/m (12)
Fermi-level density of states = 4.52 states/eV/f.u.

a = 7.5225 Å, b = 7.3656 Å, c = 7.3656 Å
α = 101.39°, β = 85.24°, γ = 85.24°
Element x y z (fractional)
1 Au 0.8369 0.9371 0.9371
2 Au 0.1631 0.0629 0.0629
3 Cs 0.2569 0.5562 0.1863
4 Cs 0.2569 0.1863 0.5562
5 Cs 0.7431 0.8137 0.4438
6 Cs 0.7431 0.4438 0.8137
7 Cd 0.1816 0.7552 0.7552
8 Cd 0.8184 0.2448 0.2448
9 Zn 0.5000 0.0000 0.0000

Computed, not measured: crystalline CsZnCd2Au at its relaxed geometry at the PBE level of DFT.

Properties
excess energy over the best structure of this formula in the dataset = 7.5 kJ/mol of atoms
total energy = -1.4550 eV/atom
ΔH_f (0 K) = -0.04 eV/f.u.
total magnetization = 0.000 μB per cell
space-group type = P4/mmm (123)
Fermi-level density of states = 1.82 states/eV/f.u.

a = 5.3657 Å, b = 5.3657 Å, c = 5.2495 Å
α = 90.00°, β = 90.00°, γ = 90.00°
Element x y z (fractional)
1 Cs 0.5000 0.5000 0.5000
2 Au 0.0000 0.0000 0.5000
3 Zn 0.0000 0.0000 0.0000
4 Cd 0.0000 0.5000 0.0000
5 Cd 0.5000 0.0000 0.0000